Na4UO5 | PBE-GGA | relaxed

a = 5.9068 Å, b = 5.9068 Å, c = 5.9068 Å
α = 98.90°, β = 98.90°, γ = 133.68°
Sites, in units of the cell vectors:
1 Na 0.8030 0.3976 0.2007
2 Na 0.6024 0.8030 0.4054
3 Na 0.3976 0.1970 0.5946
4 Na 0.1970 0.6024 0.7993
5 O 0.9238 0.7458 0.6696
6 O 0.2542 0.9238 0.1780
7 O 0.5000 0.5000 0.0000
8 O 0.0762 0.2542 0.3304
9 O 0.7458 0.0762 0.8220
10 U 0.0000 0.0000 0.0000

Values from the calculation:
symmetry	I4/m (87)
total DFT energy (no corrections)	-6.47	eV per atom

=====

Na5U3O12 | PBE-GGA | relaxed

a = 11.6703 Å, b = 11.6703 Å, c = 11.6703 Å
α = 109.47°, β = 109.47°, γ = 109.47°
Sites, in units of the cell vectors:
1 O 0.3441 0.7897 0.4678
2 O 0.2103 0.5544 0.6781
3 O 0.8763 0.0322 0.8219
4 O 0.6237 0.6781 0.4678
5 O 0.7103 0.5322 0.1559
6 O 0.1559 0.0322 0.7103
7 O 0.1559 0.1237 0.9456
8 O 0.7897 0.3441 0.9678
9 O 0.2897 0.8219 0.9456
10 O 0.6237 0.9456 0.6559
11 O 0.8219 0.5322 0.8763
12 O 0.0322 0.1559 0.2103
13 O 0.1237 0.9678 0.1781
14 O 0.8219 0.2897 0.4456
15 O 0.9456 0.6237 0.1559
16 O 0.6559 0.4456 0.6237
17 O 0.6781 0.0544 0.2103
18 O 0.0322 0.8763 0.3219
19 O 0.3763 0.0544 0.3441
20 O 0.9678 0.1237 0.6781
21 O 0.4456 0.7897 0.8219
22 O 0.3219 0.9456 0.7897
23 O 0.4678 0.1781 0.6237
24 O 0.0544 0.6781 0.7103
25 O 0.1781 0.4678 0.1237
26 O 0.1237 0.1559 0.4456
27 O 0.0544 0.3763 0.8441
28 O 0.8763 0.8441 0.5544
29 O 0.4456 0.6559 0.1237
30 O 0.5544 0.3441 0.8763
31 O 0.6559 0.2103 0.5322
32 O 0.1781 0.7103 0.5544
33 O 0.5322 0.7103 0.6559
34 O 0.4678 0.2897 0.3441
35 O 0.6781 0.6237 0.9678
36 O 0.7103 0.1781 0.0544
37 O 0.8441 0.8763 0.0544
38 O 0.3219 0.3763 0.0322
39 O 0.5544 0.2103 0.1781
40 O 0.2103 0.6559 0.0322
41 O 0.3441 0.5544 0.3763
42 O 0.2897 0.4678 0.8441
43 O 0.8441 0.9678 0.2897
44 O 0.3763 0.3219 0.5322
45 O 0.7897 0.4456 0.3219
46 O 0.9456 0.3219 0.2897
47 O 0.9678 0.8441 0.7897
48 O 0.5322 0.8219 0.3763
49 Na 0.0000 0.0000 0.5000
50 Na 0.2500 0.3750 0.6250
51 Na 0.5000 0.5000 0.5000
52 Na 0.8750 0.2500 0.6250
53 Na 0.2500 0.8750 0.1250
54 Na 0.1250 0.3750 0.2500
55 Na 0.7500 0.1250 0.8750
56 Na 0.1250 0.7500 0.3750
57 Na 0.0000 0.0000 0.0000
58 Na 0.3750 0.2500 0.1250
59 Na 0.5000 0.0000 0.5000
60 Na 0.5000 0.0000 0.0000
61 Na 0.0000 0.5000 0.0000
62 Na 0.0000 0.5000 0.5000
63 Na 0.3750 0.1250 0.7500
64 Na 0.8750 0.6250 0.7500
65 Na 0.6250 0.7500 0.8750
66 Na 0.6250 0.8750 0.2500
67 Na 0.7500 0.6250 0.3750
68 Na 0.5000 0.5000 0.0000
69 U 0.1250 0.8750 0.7500
70 U 0.1250 0.2500 0.8750
71 U 0.8750 0.1250 0.2500
72 U 0.8750 0.7500 0.1250
73 U 0.6250 0.3750 0.7500
74 U 0.3750 0.6250 0.2500
75 U 0.6250 0.2500 0.3750
76 U 0.2500 0.6250 0.8750
77 U 0.3750 0.7500 0.6250
78 U 0.2500 0.1250 0.3750
79 U 0.7500 0.3750 0.1250
80 U 0.7500 0.8750 0.6250

Values from the calculation:
symmetry	Ia-3d (230)
total DFT energy (no corrections)	-7.24	eV per atom

=====

NaU2O6 | PBE-GGA | relaxed

a = 4.9576 Å, b = 9.5619 Å, c = 9.5619 Å
α = 120.00°, β = 90.00°, γ = 90.00°
Last column: magnetic moment on the atom in μB.
Sites, in units of the cell vectors:
1 O 0.7238 0.5780 0.8008  -0.02
2 O 0.2487 0.4532 0.5414  -0.02
3 O 0.2284 0.1390 0.8912  -0.02
4 O 0.7716 0.2478 0.1088  -0.02
5 O 0.2284 0.7522 0.8610  -0.02
6 O 0.7513 0.9117 0.4586  -0.02
7 O 0.2284 0.1088 0.2478  -0.02
8 O 0.7513 0.5468 0.0883  -0.02
9 O 0.7238 0.1992 0.7772  -0.02
10 O 0.2487 0.0883 0.5468  -0.02
11 O 0.7716 0.8912 0.1390  -0.02
12 O 0.2762 0.8008 0.5780  -0.02
13 O 0.2762 0.4220 0.2228  -0.02
14 O 0.2487 0.4586 0.9117  -0.02
15 O 0.7238 0.2228 0.4220  -0.02
16 O 0.2762 0.7772 0.1992  -0.02
17 O 0.7716 0.8610 0.7522  -0.02
18 O 0.7513 0.5414 0.4532  -0.02
19 U 0.5000 0.0000 0.6801  0.57
20 U 0.0000 0.0000 0.3476  0.53
21 U 0.5000 0.6801 0.0000  0.57
22 U 0.5000 0.3199 0.3199  0.57
23 U 0.0000 0.6524 0.6524  0.53
24 U 0.0000 0.3476 0.0000  0.53
25 Na 0.0000 0.0000 0.0000  0.00
26 Na 0.4807 0.3333 0.6667  0.00
27 Na 0.5193 0.6667 0.3333  0.00

Values from the calculation:
symmetry	P321 (150)
total DFT energy (no corrections)	-8.90	eV per atom

=====

Na2U2O5 | PBE-GGA | relaxed

a = 4.5242 Å, b = 4.6526 Å, c = 7.3967 Å
α = 71.67°, β = 90.01°, γ = 90.00°
Last column: magnetic moment on the atom in μB.
Sites, in units of the cell vectors:
1 O 0.0001 0.3202 0.3597  -0.06
2 O 0.5002 0.8402 0.3197  -0.06
3 O 0.4998 0.1598 0.6803  -0.06
4 O 0.0000 0.0000 0.0000  -0.06
5 O 0.9999 0.6798 0.6403  -0.06
6 U 0.0001 0.8490 0.3021  2.00
7 U 0.9999 0.1510 0.6979  2.00
8 Na 0.5001 0.3437 0.3126  0.00
9 Na 0.4999 0.6563 0.6874  0.00

Values from the calculation:
symmetry	Cmmm (65)
total DFT energy (no corrections)	-8.11	eV per atom